Entry from Alexandria: CaNiBrO2 after structural relaxation (GGA+U).

It has space group P4/mmm (No. 123), with a = 4.207 Å, b = 4.207 Å, c = 7.841 Å, α = 90.00°, β = 90.00° and γ = 90.00°. The distinct sites, in fractional coordinates, are Ca at (0.000, 0.000, 0.000), Ni at (0.000, 0.000, 0.500), Br at (0.500, 0.500, 0.500) and O at (0.000, 0.500, 0.000).

As for the crystal system: tetragonal. The density comes out at 2.521 g/cm3. The value obtained for the total energy is -3.506 eV per atom. The total magnetization comes out at 0.6000 μB per atom.

Entry from Alexandria: Ca2NiBrO after structural relaxation (GGA+U).

It has space group P4/mmm (No. 123), with a = 5.425 Å, b = 5.425 Å, c = 3.621 Å, α = 90.00°, β = 90.00° and γ = 90.00°. The distinct sites, in fractional coordinates, are Ca at (0.000, 0.500, 0.000), Ni at (0.000, 0.000, 0.000), Br at (0.500, 0.500, 0.500) and O at (0.000, 0.000, 0.500).

As for the crystal system: tetragonal. The density comes out at 3.658 g/cm3. The value obtained for the total energy is -3.387 eV per atom. The total magnetization comes out at 0.1040 μB per atom.